No. 1
## Pb2BrF (PBEsol)

Data for a geometry-optimized Pb2BrF structure. Values from VASP.

## Properties
- Raw formation energy: -0.63 eV per atom
- Volume: 94.7 Å³/cell

```
&SYSTEM
  ibrav = 0, nat = 4, ntyp = 3
/
ATOMIC_SPECIES
Pb 207.20 Pb.upf
Br 79.90 Br.upf
F 19.00 F.upf
ATOMIC_POSITIONS angstrom
Pb 2.559 1.477 1.045
Pb 7.676 4.431 3.134
Br 5.117 2.954 2.089
F 0.000 0.000 0.000
CELL_PARAMETERS angstrom
5.117 0.000 0.000
2.559 4.431 0.000
2.559 1.477 4.178
```

No. 2
## RbFeAsSe2 (PBEsol)

Data for a geometry-optimized RbFeAsSe2 structure. Values from VASP.

## Properties
- Raw formation energy: -0.13 eV per atom
- Volume: 113.7 Å³/cell

```
&SYSTEM
  ibrav = 0, nat = 5, ntyp = 4
/
ATOMIC_SPECIES
As 74.92 As.upf
Se 78.96 Se.upf
Rb 85.47 Rb.upf
Fe 55.84 Fe.upf
ATOMIC_POSITIONS angstrom
As 2.279 0.000 0.000
Se 0.000 0.000 2.498
Se 0.000 2.498 0.000
Rb 2.279 2.498 2.498
Fe 0.000 0.000 0.000
CELL_PARAMETERS angstrom
4.558 0.000 0.000
0.000 4.995 0.000
0.000 0.000 4.995
```

No. 3
## RbLa2C6N6ClO6 (PBEsol)

Data for a geometry-optimized RbLa2C6N6ClO6 structure. Values from VASP.

## Properties
- Raw formation energy: -1.36 eV per atom
- Volume: 572.6 Å³/cell

```
&SYSTEM
  ibrav = 0, nat = 44, ntyp = 6
/
ATOMIC_SPECIES
Rb 85.47 Rb.upf
La 138.91 La.upf
C 12.01 C.upf
N 14.01 N.upf
Cl 35.45 Cl.upf
O 16.00 O.upf
ATOMIC_POSITIONS angstrom
Rb -4.570 1.202 2.446
Rb -3.944 2.533 10.531
La -3.022 0.246 6.940
La -6.709 6.508 10.775
La -5.492 3.490 6.037
La -1.805 -2.772 2.202
C -6.170 4.280 2.775
C -2.429 2.499 4.871
C -6.524 0.334 5.198
C -3.286 1.793 13.872
C -7.028 3.575 11.776
C -2.932 5.739 11.449
C -2.343 -0.545 10.202
C -6.085 1.237 8.106
C -1.990 3.401 7.779
C -5.228 1.942 -0.895
C -1.486 0.161 1.201
C -5.581 -2.004 1.528
N -5.440 -0.220 5.771
N -1.393 1.871 5.478
N -1.790 -2.010 7.849
N -3.996 6.243 10.797
N -8.043 4.152 11.090
N -7.646 8.033 8.719
N -3.073 3.956 7.206
N -7.121 1.864 7.499
N -6.723 5.745 5.128
N -4.518 -2.508 2.180
N -0.470 -0.416 1.888
N -0.868 -4.297 4.258
Cl -2.413 -1.263 4.571
Cl -6.100 4.999 8.406
O -5.178 3.880 3.508
O -3.602 2.002 5.110
O -6.459 1.522 4.682
O -4.356 2.387 13.443
O -5.932 4.265 11.841
O -3.075 4.745 12.269
O -3.335 -0.145 9.469
O -4.912 1.734 7.867
O -2.054 2.214 8.296
O -4.158 1.349 -0.465
O -2.581 -0.530 1.136
O -5.439 -1.010 0.708
CELL_PARAMETERS angstrom
-5.961 1.769 -2.658
0.509 -5.627 3.715
-3.062 7.593 11.920
```

No. 4
## CrIrPt (PBEsol)

Data for a geometry-optimized CrIrPt structure. Values from VASP.

## Properties
- Polymorph energy (0 for the lowest one): 0 meV per atom
- Volume: 40.3 Å³/cell

```
&SYSTEM
  ibrav = 0, nat = 3, ntyp = 3
/
ATOMIC_SPECIES
Cr 52.00 Cr.upf
Ir 192.22 Ir.upf
Pt 195.08 Pt.upf
ATOMIC_POSITIONS angstrom
Cr 1.338 1.338 5.565
Ir 0.000 0.000 3.905
Pt 1.338 1.338 1.783
CELL_PARAMETERS angstrom
2.677 0.000 0.000
0.000 2.677 0.000
-1.338 -1.338 5.627
```

No. 5
## Y3HfIn (PBEsol)

Data for a geometry-optimized Y3HfIn structure. Values from VASP.

## Properties
- Final energy: -5.994 eV/atom
- Volume: 170.8 Å³/cell

```
&SYSTEM
  ibrav = 0, nat = 5, ntyp = 3
/
ATOMIC_SPECIES
Y 88.91 Y.upf
Hf 178.49 Hf.upf
In 114.82 In.upf
ATOMIC_POSITIONS angstrom
Y -2.172 -1.313 1.120
Y -0.124 1.914 2.004
Y -1.722 1.519 -1.557
Hf -4.017 2.119 1.567
In 0.000 0.000 0.000
CELL_PARAMETERS angstrom
-3.443 3.037 -3.115
-4.343 -2.627 2.240
-0.248 3.828 4.008
```

No. 6
## LiVOF3 (PBEsol)

Data for a geometry-optimized LiVOF3 structure. Values from VASP.

## Properties
- Polymorph energy (0 for the lowest one): 71 meV per atom
- Raw formation energy: -2.76 eV per atom
- Volume: 124.4 Å³/cell

```
&SYSTEM
  ibrav = 0, nat = 12, ntyp = 4
/
ATOMIC_SPECIES
Li 6.94 Li.upf
V 50.94 V.upf
O 16.00 O.upf
F 19.00 F.upf
ATOMIC_POSITIONS angstrom
Li 0.185 3.751 2.516
Li 2.347 1.073 2.527
V 0.000 0.000 0.000
V 2.445 2.664 -0.004
O 3.746 3.580 4.516
O 1.231 3.907 0.524
F 3.621 6.279 4.317
F 1.356 1.209 0.722
F 1.725 4.804 3.343
F 3.252 2.683 1.697
F 0.955 2.164 3.380
F 4.022 5.324 1.660
CELL_PARAMETERS angstrom
4.607 -0.014 0.007
0.283 5.342 -0.015
0.087 2.160 5.047
```

No. 7
## TcNi2Ag (PBEsol)

Data for a geometry-optimized TcNi2Ag structure. Values from VASP.

## Properties
- Polymorph energy (0 for the lowest one): 0 meV per atom
- Volume: 50.9 Å³/cell

```
&SYSTEM
  ibrav = 0, nat = 4, ntyp = 3
/
ATOMIC_SPECIES
Ag 107.87 Ag.upf
Ni 58.69 Ni.upf
Tc 98.00 Tc.upf
ATOMIC_POSITIONS angstrom
Ag 1.303 1.303 5.738
Ni 0.000 0.000 0.188
Ni 1.303 1.303 1.804
Tc 0.000 0.000 3.515
CELL_PARAMETERS angstrom
2.606 0.000 0.000
0.000 2.606 0.000
0.000 0.000 7.497
```

No. 8
## SrLi2Sn2 (PBEsol)

Data for a geometry-optimized SrLi2Sn2 structure. Values from VASP.

## Properties
- Polymorph energy (0 for the lowest one): 37 meV per atom
- Volume: 228.6 Å³/cell

```
&SYSTEM
  ibrav = 0, nat = 10, ntyp = 3
/
ATOMIC_SPECIES
Sr 87.62 Sr.upf
Sn 118.71 Sn.upf
Li 6.94 Li.upf
ATOMIC_POSITIONS angstrom
Sr 0.000 0.000 0.000
Sr 0.000 4.249 4.249
Sn 1.583 1.481 5.730
Sn 1.583 5.730 7.017
Sn 1.583 7.017 2.768
Sn 1.583 2.768 1.481
Li 0.000 3.250 7.499
Li 0.000 7.499 5.248
Li 0.000 5.248 0.999
Li 0.000 0.999 3.250
CELL_PARAMETERS angstrom
3.166 0.000 0.000
0.000 8.498 0.000
0.000 0.000 8.498
```

No. 9
## KReSb2 (PBEsol)

Data for a geometry-optimized KReSb2 structure. Values from VASP.

## Properties
- Polymorph energy (0 for the lowest one): 0 meV per atom
- Raw formation energy: 0.26 eV per atom
- Volume: 116.6 Å³/cell

```
&SYSTEM
  ibrav = 0, nat = 4, ntyp = 3
/
ATOMIC_SPECIES
K 39.10 K.upf
Re 186.21 Re.upf
Sb 121.76 Sb.upf
ATOMIC_POSITIONS angstrom
K 1.704 -0.599 3.974
Re 0.000 0.014 7.214
Sb 1.704 1.929 6.560
Sb 1.704 1.976 1.466
CELL_PARAMETERS angstrom
3.409 0.000 0.000
-1.704 4.453 0.015
0.000 -2.234 7.674
```

No. 10
## IrRu2Rh (PBEsol)

Data for a geometry-optimized IrRu2Rh structure. Values from VASP.

## Properties
- Polymorph energy (0 for the lowest one): 3 meV per atom
- Volume: 54.1 Å³/cell

```
&SYSTEM
  ibrav = 0, nat = 4, ntyp = 3
/
ATOMIC_SPECIES
Ru 101.07 Ru.upf
Ir 192.22 Ir.upf
Rh 102.91 Rh.upf
ATOMIC_POSITIONS angstrom
Ru 0.015 -0.003 0.000
Ru 0.777 -2.523 0.369
Ir 2.597 -0.599 0.009
Rh 3.418 -3.132 0.378
CELL_PARAMETERS angstrom
-0.273 -1.148 2.397
-0.755 -3.304 -1.668
5.224 -1.204 0.018
```

No. 11
## ZrZn2Pt2 (PBEsol)

Data for a geometry-optimized ZrZn2Pt2 structure. Values from VASP.

## Properties
- Polymorph energy (0 for the lowest one): 2 meV per atom
- Volume: 154.1 Å³/cell

```
&SYSTEM
  ibrav = 0, nat = 10, ntyp = 3
/
ATOMIC_SPECIES
Zn 65.41 Zn.upf
Zr 91.22 Zr.upf
Pt 195.08 Pt.upf
ATOMIC_POSITIONS angstrom
Zn 5.407 0.817 4.585
Zn 2.441 0.934 7.554
Zn -0.518 0.443 4.617
Zn 2.448 0.326 1.648
Zr 0.000 0.000 0.000
Zr 2.444 0.630 4.601
Pt 4.329 1.951 2.580
Pt 4.227 2.339 6.412
Pt 0.382 2.087 6.335
Pt 0.485 1.698 2.503
CELL_PARAMETERS angstrom
-0.177 2.778 -0.286
-2.187 0.589 7.067
7.076 0.670 2.134
```

No. 12
## Li2Ga2Au (PBEsol)

Data for a geometry-optimized Li2Ga2Au structure. Values from VASP.

## Properties
- Polymorph energy (0 for the lowest one): 0 meV per atom
- Volume: 155.4 Å³/cell

```
&SYSTEM
  ibrav = 0, nat = 10, ntyp = 3
/
ATOMIC_SPECIES
Au 196.97 Au.upf
Ga 69.72 Ga.upf
Li 6.94 Li.upf
ATOMIC_POSITIONS angstrom
Au 0.000 0.000 0.000
Au 0.000 3.339 3.339
Ga 0.000 2.440 5.779
Ga 0.000 5.779 4.237
Ga 0.000 4.237 0.898
Ga 0.000 0.898 2.440
Li 1.742 1.116 4.455
Li 1.742 4.455 5.561
Li 1.742 5.561 2.222
Li 1.742 2.222 1.116
CELL_PARAMETERS angstrom
3.484 0.000 0.000
0.000 6.677 0.000
0.000 0.000 6.677
```

No. 13
## MgNi6Ru (PBEsol)

Data for a geometry-optimized MgNi6Ru structure. Values from VASP.

## Properties
- Final energy: -6.091 eV/atom
- Volume: 361.2 Å³/cell

```
&SYSTEM
  ibrav = 0, nat = 32, ntyp = 3
/
ATOMIC_SPECIES
Mg 24.30 Mg.upf
Ni 58.69 Ni.upf
Ru 101.07 Ru.upf
ATOMIC_POSITIONS angstrom
Mg 1.050 -1.696 3.869
Mg -3.005 -2.907 1.212
Mg -4.874 3.165 5.995
Mg -2.275 -0.481 3.691
Ni -2.779 3.746 7.327
Ni -7.016 2.585 7.191
Ni -4.005 5.531 5.926
Ni -6.917 2.511 4.616
Ni -6.021 4.929 4.605
Ni -5.000 3.187 8.512
Ni -3.575 1.342 4.843
Ni -2.682 3.724 4.792
Ni -4.751 3.106 3.436
Ni -0.233 0.174 5.070
Ni -4.468 -1.039 4.894
Ni -1.401 1.928 3.657
Ni -4.370 -1.062 2.359
Ni -3.470 1.310 2.301
Ni -2.399 -0.421 6.250
Ni -0.977 -2.302 2.541
Ni -0.133 0.099 2.494
Ni -2.149 -0.503 1.173
Ni -2.597 3.644 2.302
Ni -3.679 1.375 7.384
Ni -5.748 0.757 6.028
Ni 0.000 0.000 0.000
Ni -1.129 -2.244 5.081
Ni -3.144 -2.847 3.760
Ru -1.574 1.940 6.154
Ru -5.575 0.745 3.532
Ru -3.914 5.491 3.469
Ru -1.281 1.797 1.135
CELL_PARAMETERS angstrom
-5.062 -3.522 -0.136
3.107 -1.081 5.218
-5.195 7.288 4.604
```

No. 14
## MgPtN2F (PBEsol)

Data for a geometry-optimized MgPtN2F structure. Values from VASP.

## Properties
- Polymorph energy (0 for the lowest one): 601 meV per atom
- Raw formation energy: 0.79 eV per atom
- Volume: 56.5 Å³/cell

```
&SYSTEM
  ibrav = 0, nat = 5, ntyp = 4
/
ATOMIC_SPECIES
Mg 24.30 Mg.upf
N 14.01 N.upf
Pt 195.08 Pt.upf
F 19.00 F.upf
ATOMIC_POSITIONS angstrom
Mg 0.000 0.000 0.000
N 0.399 0.050 1.972
N -1.625 -1.132 0.357
Pt -2.196 0.359 2.489
F -0.969 1.441 0.159
CELL_PARAMETERS angstrom
-1.938 2.882 0.318
-3.251 -2.264 0.715
0.797 0.101 3.945
```

No. 15
## SrZn2Tc (PBEsol)

Data for a geometry-optimized SrZn2Tc structure. Values from VASP.

## Properties
- Polymorph energy (0 for the lowest one): 6 meV per atom
- Volume: 69.7 Å³/cell

```
&SYSTEM
  ibrav = 0, nat = 4, ntyp = 3
/
ATOMIC_SPECIES
Sr 87.62 Sr.upf
Tc 98.00 Tc.upf
Zn 65.41 Zn.upf
ATOMIC_POSITIONS angstrom
Sr 1.427 0.000 0.000
Tc 1.427 1.915 2.441
Zn 0.000 2.507 0.004
Zn 0.000 -0.592 2.436
CELL_PARAMETERS angstrom
2.853 0.000 0.000
0.000 5.014 0.009
0.000 -1.183 4.873
```

No. 16
## Mn2CdO4 (PBEsol)

Data for a geometry-optimized Mn2CdO4 structure. Values from VASP.

## Properties
- Raw formation energy: -1.42 eV per atom
- Volume: 166.3 Å³/cell

```
&SYSTEM
  ibrav = 0, nat = 14, ntyp = 3
/
ATOMIC_SPECIES
Mn 54.94 Mn.upf
Cd 112.41 Cd.upf
O 16.00 O.upf
ATOMIC_POSITIONS angstrom
Mn 1.453 4.028 4.366
Mn 2.906 6.886 4.357
Mn 2.906 5.401 1.859
Mn 4.359 4.028 4.366
Cd 0.000 3.601 1.240
Cd 2.906 1.485 2.498
O 2.906 3.528 3.201
O -1.649 4.802 0.526
O 2.906 1.843 0.366
O 0.000 1.557 0.536
O 1.649 6.001 3.193
O -1.649 6.001 3.193
O 1.649 4.802 0.526
O 0.000 3.243 3.371
CELL_PARAMETERS angstrom
5.811 0.000 0.000
-2.906 5.717 -0.018
0.000 2.970 4.995
```

No. 17
## LaMg2Co (PBEsol)

Data for a geometry-optimized LaMg2Co structure. Values from VASP.

## Properties
- Final energy: -4.082 eV/atom
- Volume: 85.5 Å³/cell

```
&SYSTEM
  ibrav = 0, nat = 4, ntyp = 3
/
ATOMIC_SPECIES
Co 58.93 Co.upf
La 138.91 La.upf
Mg 24.30 Mg.upf
ATOMIC_POSITIONS angstrom
Co 0.000 0.000 3.937
La 1.611 1.611 5.657
Mg 0.000 0.000 0.268
Mg 1.611 1.611 2.501
CELL_PARAMETERS angstrom
3.221 0.000 0.000
0.000 3.221 0.000
0.000 0.000 8.242
```

No. 18
## Zn2PbBr (PBEsol)

Data for a geometry-optimized Zn2PbBr structure. Values from VASP.

## Properties
- Polymorph energy (0 for the lowest one): 0 meV per atom
- Raw formation energy: -0.01 eV per atom
- Volume: 92.1 Å³/cell

```
&SYSTEM
  ibrav = 0, nat = 4, ntyp = 3
/
ATOMIC_SPECIES
Br 79.90 Br.upf
Pb 207.20 Pb.upf
Zn 65.41 Zn.upf
ATOMIC_POSITIONS angstrom
Br -5.097 -1.555 -2.138
Pb 0.000 0.000 0.000
Zn -2.571 -0.770 -1.064
Zn -7.623 -2.340 -3.213
CELL_PARAMETERS angstrom
-1.083 -0.694 -3.537
-1.359 -3.386 -0.922
-7.752 0.971 0.182
```

No. 19
## MgZrAsSe2 (PBEsol)

Data for a geometry-optimized MgZrAsSe2 structure. Values from VASP.

## Properties
- Raw formation energy: 0.16 eV per atom
- Volume: 112.7 Å³/cell

```
&SYSTEM
  ibrav = 0, nat = 5, ntyp = 4
/
ATOMIC_SPECIES
Mg 24.30 Mg.upf
As 74.92 As.upf
Se 78.96 Se.upf
Zr 91.22 Zr.upf
ATOMIC_POSITIONS angstrom
Mg 0.000 0.000 0.000
As 0.000 0.000 2.424
Se 0.000 2.410 0.000
Se 2.410 0.000 0.000
Zr 2.410 2.410 2.424
CELL_PARAMETERS angstrom
4.821 0.000 0.000
0.000 4.821 0.000
0.000 0.000 4.849
```

No. 20
## SnP2AuCl (PBEsol)

Data for a geometry-optimized SnP2AuCl structure. Values from VASP.

## Properties
- Raw formation energy: 0.98 eV per atom
- Volume: 123.1 Å³/cell

```
&SYSTEM
  ibrav = 0, nat = 5, ntyp = 4
/
ATOMIC_SPECIES
P 30.97 P.upf
Au 196.97 Au.upf
Sn 118.71 Sn.upf
Cl 35.45 Cl.upf
ATOMIC_POSITIONS angstrom
P 0.000 0.000 2.509
P 0.000 2.509 0.000
Au 2.445 2.509 2.509
Sn 0.000 0.000 0.000
Cl 2.445 0.000 0.000
CELL_PARAMETERS angstrom
4.889 0.000 0.000
0.000 5.018 0.000
0.000 0.000 5.018
```

No. 21
## Li7Cr5O12 (PBEsol)

Data for a geometry-optimized Li7Cr5O12 structure. Values from VASP.

## Properties
- Raw formation energy: -2.06 eV per atom
- Volume: 202.9 Å³/cell

```
&SYSTEM
  ibrav = 0, nat = 24, ntyp = 3
/
ATOMIC_SPECIES
Li 6.94 Li.upf
Cr 52.00 Cr.upf
O 16.00 O.upf
ATOMIC_POSITIONS angstrom
Li 3.517 4.629 4.555
Li 4.579 1.658 9.468
Li 2.140 0.584 2.407
Li 0.454 0.894 4.770
Li 2.730 -0.935 4.831
Li 3.990 3.177 7.044
Li 2.576 3.317 2.307
Cr 3.621 0.389 7.147
Cr -0.590 -0.555 2.356
Cr 1.634 -2.372 2.485
Cr 3.098 1.853 4.727
Cr -0.066 -2.021 4.776
O 1.462 -2.339 5.962
O 3.713 0.407 3.602
O 1.524 2.124 3.640
O 4.555 1.607 5.973
O 5.780 3.116 8.333
O 2.447 3.400 5.685
O 3.540 4.915 8.195
O 3.006 1.834 8.273
O 5.258 4.580 5.913
O 0.431 0.608 1.130
O 0.939 -0.875 3.542
O 2.164 0.635 5.902
CELL_PARAMETERS angstrom
-1.180 -1.111 4.711
2.748 -3.282 2.549
5.151 6.634 4.614
```

No. 22
## CaSiPt (PBEsol)

Data for a geometry-optimized CaSiPt structure. Values from VASP.

## Properties
- Raw formation energy: -0.97 eV per atom
- Volume: 218.5 Å³/cell

```
&SYSTEM
  ibrav = 0, nat = 12, ntyp = 3
/
ATOMIC_SPECIES
Ca 40.08 Ca.upf
Si 28.09 Si.upf
Pt 195.08 Pt.upf
ATOMIC_POSITIONS angstrom
Ca 1.084 3.494 5.798
Ca 3.252 0.042 2.235
Ca 1.084 7.031 4.891
Ca 3.252 3.579 1.328
Si 3.252 1.212 6.554
Si 3.252 4.749 4.136
Si 1.084 5.861 0.573
Si 1.084 2.324 2.990
Pt 3.252 2.193 4.270
Pt 3.252 5.729 6.419
Pt 1.084 1.344 0.707
Pt 1.084 4.881 2.856
CELL_PARAMETERS angstrom
4.335 0.000 0.000
0.000 7.074 0.000
0.000 0.000 7.126
```